PrHo6Th3 | PBE | optimized geometry

Calculated values
Formation energy from the elements: 109.0 meV/atom
Space-group type: P2_1/m
E: -106.83 eV/cell
N(E_F): 14.944 states/eV/f.u.

Cell: 13.159 3.496 14.248 Å, 90.00 97.47 90.00°
Positions (direct):
Pr 0.184 0.250 0.393
Pr 0.816 0.750 0.607
Ho 0.076 0.750 0.604
Ho 0.129 0.250 0.021
Ho 0.247 0.250 0.796
Ho 0.275 0.750 0.202
Ho 0.377 0.750 0.000
Ho 0.441 0.750 0.401
Ho 0.559 0.250 0.599
Ho 0.623 0.250 0.000
Ho 0.725 0.250 0.798
Ho 0.753 0.750 0.204
Ho 0.871 0.750 0.979
Ho 0.924 0.250 0.396
Th 0.016 0.750 0.206
Th 0.327 0.750 0.603
Th 0.495 0.750 0.800
Th 0.505 0.250 0.200
Th 0.673 0.250 0.397
Th 0.984 0.250 0.794



Cd3TcRu | PBE | optimized geometry

Calculated values
Formation energy from the elements: 1338.4 meV/atom
Space-group type: Pm-3m
E: -15.70 eV/cell
N(E_F): 3.323 states/eV/f.u.

Cell: 5.092 5.092 5.092 Å, 90.00 90.00 90.00°
Positions (direct):
Cd 0.000 0.000 0.500
Cd 0.000 0.500 0.000
Cd 0.500 0.000 0.000
Tc 0.500 0.500 0.500
Ru 0.000 0.000 0.000



Pa2Co12As7 | PBE | optimized geometry

Calculated values
Formation energy from the elements: -426.2 meV/atom
Space-group type: P-6
E: -145.76 eV/cell
N(E_F): 20.370 states/eV/f.u.

Cell: 9.331 9.331 3.760 Å, 90.00 90.00 120.00°
Positions (direct):
Pa 0.000 0.000 0.000
Pa 0.333 0.667 0.500
Co 0.040 0.272 0.500
Co 0.117 0.715 0.000
Co 0.232 0.960 0.500
Co 0.285 0.402 0.000
Co 0.386 0.183 0.000
Co 0.555 0.432 0.500
Co 0.568 0.123 0.500
Co 0.598 0.883 0.000
Co 0.728 0.768 0.500
Co 0.797 0.614 0.000
Co 0.817 0.203 0.000
Co 0.877 0.445 0.500
As 0.062 0.444 0.000
As 0.268 0.233 0.500
As 0.382 0.938 0.000
As 0.556 0.618 0.000
As 0.667 0.333 0.000
As 0.767 0.035 0.500
As 0.965 0.732 0.500



TbPmHg6 | PBE | optimized geometry

Calculated values
Formation energy from the elements: -369.2 meV/atom
Space-group type: Amm2
E: -28.29 eV/cell
N(E_F): 5.415 states/eV/f.u.

Cell: 5.037 6.758 11.584 Å, 90.00 90.00 90.00°
Positions (direct):
Tb 0.000 0.000 0.000
Tb 0.000 0.500 0.500
Pm 0.500 0.000 0.325
Pm 0.500 0.500 0.825
Hg 0.000 0.000 0.497
Hg 0.000 0.241 0.745
Hg 0.000 0.259 0.245
Hg 0.000 0.500 0.997
Hg 0.000 0.741 0.245
Hg 0.000 0.759 0.745
Hg 0.500 0.000 0.832
Hg 0.500 0.246 0.578
Hg 0.500 0.254 0.078
Hg 0.500 0.500 0.332
Hg 0.500 0.746 0.078
Hg 0.500 0.754 0.578



SiSbI2F | PBE | optimized geometry

Calculated values
Space-group type: P4/mmm
E: -13.71 eV/cell
N(E_F): 3.652 states/eV/f.u.

Cell: 5.847 5.847 4.223 Å, 90.00 90.00 90.00°
Positions (direct):
Si 0.000 0.000 0.000
Sb 0.500 0.500 0.000
I 0.000 0.500 0.500
I 0.500 0.000 0.500
F 0.500 0.500 0.500



CaReIN2 | PBE | optimized geometry

Calculated values
Space-group type: P4/mmm
E: -31.78 eV/cell
N(E_F): 3.464 states/eV/f.u.

Cell: 4.029 4.029 5.597 Å, 90.00 90.00 90.00°
Positions (direct):
Ca 0.000 0.000 0.000
Re 0.500 0.500 0.500
I 0.500 0.500 0.000
N 0.000 0.500 0.500
N 0.500 0.000 0.500



LaCePm2Bi5 | PBE | optimized geometry

Calculated values
Formation energy from the elements: -107.1 meV/atom
Space-group type: P4/mmm
E: -40.73 eV/cell
N(E_F): 8.244 states/eV/f.u.

Cell: 5.552 5.552 12.158 Å, 90.00 90.00 90.00°
Positions (direct):
La 0.000 0.000 0.000
Ce 0.000 0.000 0.500
Pm 0.500 0.500 0.271
Pm 0.500 0.500 0.729
Bi 0.000 0.000 0.250
Bi 0.000 0.000 0.750
Bi 0.000 0.500 0.500
Bi 0.500 0.000 0.500
Bi 0.500 0.500 0.000



MnCd2Rh | PBE | optimized geometry

Calculated values
Formation energy from the elements: 21.1 meV/atom
Space-group type: P4/mmm
E: -18.27 eV/cell
N(E_F): 3.330 states/eV/f.u.

Cell: 4.072 4.072 4.164 Å, 90.00 90.00 90.00°
Positions (direct):
Mn 0.000 0.000 0.000
Cd 0.000 0.500 0.500
Cd 0.500 0.000 0.500
Rh 0.500 0.500 0.000